A plane-wave DFT calculation with GGA+U was carried out for a geometry-optimized NpTaMnO6 structure.

As for the raw total energy: -9.44 eV per atom. The value obtained for the mass density is 7.8 g cm⁻³.

The space group is P-31c (No. 163) and the conventional cell measures 5.5105, 5.5105 and 9.1599 Å, with angles of 90.00, 90.00 and 120.00 degrees. The distinct sites, in fractional coordinates, are Np at (0.3333, 0.6667, 0.2500), Ta at (0.3333, 0.6667, 0.7500), Mn at (0.0000, 0.0000, 0.0000) and O at (0.0186, 0.3603, 0.6345).